{"formula": "CrCdClF2", "functional": "PBE+U", "state": "optimized geometry", "total_energy_ev_per_atom": -4.47, "magnetic_moment_mub_per_cell": 4.00, "cell": [[4.039, 0.000, 0.000], [0.000, 4.039, 0.000], [0.000, 0.000, 5.929]], "species": ["Cr", "Cd", "Cl", "F", "F"], "frac_coords": [[0.000, 0.000, 0.000], [0.500, 0.500, 0.500], [0.000, 0.000, 0.500], [0.000, 0.500, 0.000], [0.500, 0.000, 0.000]]}